## LuBe2Pd (PBE-GGA)

Data for a relaxed structure of LuBe2Pd.

The space group is F-43m (No. 216) and the conventional cell measures 6.2146, 6.2146 and 6.2146 Å, with angles of 90.00, 90.00 and 90.00 degrees. The distinct sites, in fractional coordinates, are Lu at (0.0000, 0.0000, 0.0000), Be at (0.0000, 0.0000, 0.5000), Be at (0.2500, 0.2500, 0.2500) and Pd at (0.2500, 0.2500, 0.7500).

The magnetic moment is 0.0 μB/f.u. The value obtained for the total DFT energy (no corrections) is -4.4122 eV per atom. As for the mass density: 8.286 g/cm3.